[1]
Here is an optimized crystal structure of La2OsO6 from Alexandria via LeMat-Bulk. Energies are from PBE.

Geometry as POSCAR:
```
La2OsO6
1.0
-1.9100 2.7861 5.6205
1.9100 -2.7861 5.6205
1.9100 2.7861 -5.6205
La Os O
2 1 6
Direct
0.1658 0.1658 0.0000
0.8342 0.8342 0.0000
0.5000 0.5000 0.0000
0.1301 0.3575 0.7727
0.2983 0.0000 0.2983
0.4152 0.6425 0.7727
0.5848 0.3575 0.2273
0.7017 0.0000 0.7017
0.8699 0.6425 0.2273
```

Values from the calculation:
Symmetry: Immm, No. 71
Energy above the lowest structure with this stoichiometry: 6.203 kcal/mol of atoms
Formation energy from raw total energies: -2.14 eV per atom

[2]
Here is an optimized crystal structure of La6OsO12 from Alexandria via LeMat-Bulk. Energies are from PBE.

Geometry as POSCAR:
```
La6OsO12
1.0
5.1714 2.9857 3.3208
-5.1714 2.9857 3.3208
0.0000 -5.9714 3.3208
La Os O
6 1 12
Direct
0.1067 0.8042 0.6431
0.1958 0.3569 0.8933
0.3569 0.8933 0.1958
0.6431 0.1067 0.8042
0.8042 0.6431 0.1067
0.8933 0.1958 0.3569
0.5000 0.5000 0.5000
0.0586 0.9049 0.3230
0.0951 0.6770 0.9414
0.2164 0.4336 0.5311
0.3230 0.0586 0.9049
0.4336 0.5311 0.2164
0.4689 0.7836 0.5664
0.5311 0.2164 0.4336
0.5664 0.4689 0.7836
0.6770 0.9414 0.0951
0.7836 0.5664 0.4689
0.9049 0.3230 0.0586
0.9414 0.0951 0.6770
```

Values from the calculation:
Symmetry: R-3, No. 148
Formation energy from raw total energies: -2.98 eV per atom

[3]
Here is an optimized crystal structure of LaOs3O from Alexandria via LeMat-Bulk. Energies are from PBE.

Geometry as POSCAR:
```
LaOs3O
1.0
4.9519 0.0000 0.0000
0.0000 4.9519 0.0000
0.0000 0.0000 4.9519
La Os O
1 3 1
Direct
0.0000 0.0000 0.0000
0.0000 0.0000 0.5000
0.0000 0.5000 0.0000
0.5000 0.0000 0.0000
0.5000 0.5000 0.5000
```

Values from the calculation:
Symmetry: Pm-3m, No. 221
Energy above the lowest structure with this stoichiometry: 64.893 kcal/mol of atoms
Formation energy from raw total energies: 3.43 eV per atom

[4]
Here is an optimized crystal structure of La6Os2O from Alexandria via LeMat-Bulk. Energies are from PBE.

Geometry as POSCAR:
```
La6Os2O
1.0
6.6965 0.0000 0.0000
0.0000 7.4262 0.0000
-6.6640 0.0000 9.9694
La Os O
12 4 2
Direct
0.1112 0.0532 0.2416
0.1112 0.4468 0.7416
0.2370 0.6789 0.0670
0.2370 0.8211 0.5670
0.3821 0.1633 0.0650
0.3821 0.3367 0.5650
0.6179 0.6633 0.4350
0.6179 0.8367 0.9350
0.7630 0.1789 0.4330
0.7630 0.3211 0.9330
0.8888 0.5532 0.2584
0.8888 0.9468 0.7584
0.2935 0.1061 0.7494
0.2935 0.3939 0.2494
0.7065 0.6061 0.7506
0.7065 0.8939 0.2506
0.0000 0.0000 0.0000
0.0000 0.5000 0.5000
```

Values from the calculation:
Symmetry: P2_1/c, No. 14
Formation energy from raw total energies: -0.74 eV per atom

[5]
Here is an optimized crystal structure of LaOs3O from Alexandria via LeMat-Bulk. Energies are from PBE.

Geometry as POSCAR:
```
LaOs3O
1.0
4.3043 0.0000 0.0000
0.0000 4.3043 0.0000
0.0000 0.0000 4.3043
La Os O
1 3 1
Direct
0.0000 0.0000 0.0000
0.0000 0.5000 0.5000
0.5000 0.0000 0.5000
0.5000 0.5000 0.0000
0.5000 0.5000 0.5000
```

Values from the calculation:
Symmetry: Pm-3m, No. 221
Energy above the lowest structure with this stoichiometry: 0.000 kcal/mol of atoms
Formation energy from raw total energies: 0.62 eV per atom

[6]
Here is an optimized crystal structure of La2OsO6 from Alexandria via LeMat-Bulk. Energies are from PBE.

Geometry as POSCAR:
```
La2OsO6
1.0
5.6131 0.0000 0.0000
0.0000 6.3019 0.0000
-4.8110 0.0000 7.6807
La Os O
4 2 12
Direct
0.2129 0.0918 0.2488
0.2129 0.4082 0.7488
0.7871 0.5918 0.2512
0.7871 0.9082 0.7512
0.5000 0.0000 0.0000
0.5000 0.5000 0.5000
0.1525 0.1492 0.9475
0.1525 0.3508 0.4475
0.3013 0.7322 0.9296
0.3013 0.7678 0.4296
0.4017 0.0538 0.7653
0.4017 0.4462 0.2653
0.5983 0.5538 0.7347
0.5983 0.9462 0.2347
0.6987 0.2322 0.5704
0.6987 0.2678 0.0704
0.8475 0.6492 0.5525
0.8475 0.8508 0.0525
```

Values from the calculation:
Symmetry: P2_1/c, No. 14
Energy above the lowest structure with this stoichiometry: 0.000 kcal/mol of atoms
Formation energy from raw total energies: -2.41 eV per atom

[7]
Here is an optimized crystal structure of La12Os3O5 from Alexandria via LeMat-Bulk. Energies are from PBE.

Geometry as POSCAR:
```
La12Os3O5
1.0
-7.9727 7.9727 7.9727
7.9727 -7.9727 7.9727
7.9727 7.9727 -7.9727
La Os O
48 12 20
Direct
0.0274 0.2099 0.1216
0.0274 0.3176 0.9059
0.0883 0.7099 0.6824
0.0883 0.8784 0.4059
0.0941 0.6216 0.4117
0.0941 0.9726 0.6824
0.1216 0.0274 0.2099
0.1216 0.5941 0.9117
0.1824 0.2099 0.5883
0.1824 0.4726 0.5941
0.2099 0.1216 0.0274
0.2099 0.5883 0.1824
0.2901 0.3176 0.9117
0.2901 0.4726 0.3784
0.3176 0.9059 0.0274
0.3176 0.9117 0.2901
0.3784 0.2901 0.4726
0.3784 0.5883 0.9059
0.4059 0.0883 0.8784
0.4059 0.8176 0.5274
0.4117 0.0941 0.6216
0.4117 0.8176 0.7901
0.4726 0.3784 0.2901
0.4726 0.5941 0.1824
0.5274 0.4059 0.8176
0.5274 0.6216 0.7099
0.5883 0.1824 0.2099
0.5883 0.9059 0.3784
0.5941 0.1824 0.4726
0.5941 0.9117 0.1216
0.6216 0.4117 0.0941
0.6216 0.7099 0.5274
0.6824 0.0883 0.7099
0.6824 0.0941 0.9726
0.7099 0.5274 0.6216
0.7099 0.6824 0.0883
0.7901 0.4117 0.8176
0.7901 0.8784 0.9726
0.8176 0.5274 0.4059
0.8176 0.7901 0.4117
0.8784 0.4059 0.0883
0.8784 0.9726 0.7901
0.9059 0.0274 0.3176
0.9059 0.3784 0.5883
0.9117 0.1216 0.5941
0.9117 0.2901 0.3176
0.9726 0.6824 0.0941
0.9726 0.7901 0.8784
0.1250 0.2500 0.3750
0.1250 0.3750 0.7500
0.2500 0.3750 0.1250
0.2500 0.8750 0.6250
0.3750 0.1250 0.2500
0.3750 0.7500 0.1250
0.6250 0.2500 0.8750
0.6250 0.8750 0.7500
0.7500 0.1250 0.3750
0.7500 0.6250 0.8750
0.8750 0.6250 0.2500
0.8750 0.7500 0.6250
0.0000 0.0000 0.0000
0.0000 0.0000 0.5000
0.0000 0.5000 0.0000
0.0000 0.5000 0.5000
0.1250 0.7500 0.8750
0.1250 0.8750 0.2500
0.2500 0.1250 0.8750
0.2500 0.6250 0.3750
0.3750 0.2500 0.6250
0.3750 0.6250 0.7500
0.5000 0.0000 0.0000
0.5000 0.0000 0.5000
0.5000 0.5000 0.0000
0.5000 0.5000 0.5000
0.6250 0.3750 0.2500
0.6250 0.7500 0.3750
0.7500 0.3750 0.6250
0.7500 0.8750 0.1250
0.8750 0.1250 0.7500
0.8750 0.2500 0.1250
```

Values from the calculation:
Symmetry: Ia-3d, No. 230
Formation energy from raw total energies: -1.39 eV per atom

[8]
Here is an optimized crystal structure of LaOsO6 from Alexandria via LeMat-Bulk. Energies are from PBE.

Geometry as POSCAR:
```
LaOsO6
1.0
3.1002 -3.5063 0.0000
3.1002 3.5063 0.0000
-0.8681 0.0000 4.5797
La Os O
1 1 6
Direct
0.0000 0.0000 0.0000
0.5000 0.5000 0.5000
0.2185 0.2185 0.5871
0.2198 0.5897 0.2177
0.4103 0.7802 0.7823
0.5897 0.2198 0.2177
0.7802 0.4103 0.7823
0.7815 0.7815 0.4129
```

Values from the calculation:
Symmetry: C2/m, No. 12
Formation energy from raw total energies: -1.49 eV per atom

[9]
Here is an optimized crystal structure of LaPOsO from Alexandria via LeMat-Bulk. Energies are from PBE.

Geometry as POSCAR:
```
LaPOsO
1.0
4.0772 0.0000 0.0000
0.0000 4.0772 0.0000
0.0000 0.0000 8.4914
La P Os O
2 2 2 2
Direct
0.2500 0.2500 0.1443
0.7500 0.7500 0.8557
0.2500 0.2500 0.6396
0.7500 0.7500 0.3604
0.2500 0.7500 0.5000
0.7500 0.2500 0.5000
0.2500 0.7500 0.0000
0.7500 0.2500 0.0000
```

Values from the calculation:
Symmetry: P4/nmm, No. 129
Formation energy from raw total energies: -1.92 eV per atom

[10]
Here is an optimized crystal structure of LaP2OsO from Alexandria via LeMat-Bulk. Energies are from PBE.

Geometry as POSCAR:
```
LaP2OsO
1.0
5.5434 0.0000 0.0000
0.0000 5.5434 0.0000
0.0000 0.0000 4.0645
La P Os O
1 2 1 1
Direct
0.0000 0.0000 0.0000
0.0000 0.5000 0.0000
0.5000 0.0000 0.0000
0.5000 0.5000 0.5000
0.0000 0.0000 0.5000
```

Values from the calculation:
Symmetry: P4/mmm, No. 123
Energy above the lowest structure with this stoichiometry: 39.088 kcal/mol of atoms
Formation energy from raw total energies: 1.05 eV per atom

[11]
Here is an optimized crystal structure of LaPOsO2 from Alexandria via LeMat-Bulk. Energies are from PBE.

Geometry as POSCAR:
```
LaPOsO2
1.0
4.0684 0.0000 0.0000
0.0000 4.0684 0.0000
0.0000 0.0000 6.7357
La P Os O
1 1 1 2
Direct
0.0000 0.0000 0.0000
0.0000 0.0000 0.5000
0.5000 0.5000 0.5000
0.0000 0.5000 0.0000
0.5000 0.0000 0.0000
```

Values from the calculation:
Symmetry: P4/mmm, No. 123
Energy above the lowest structure with this stoichiometry: 26.663 kcal/mol of atoms
Formation energy from raw total energies: 0.10 eV per atom

[12]
Here is an optimized crystal structure of LaPOsO2 from Alexandria via LeMat-Bulk. Energies are from PBE.

Geometry as POSCAR:
```
LaPOsO2
1.0
4.0269 0.0000 0.0000
0.0000 4.0269 0.0000
0.0000 0.0000 4.8648
La P Os O
1 1 1 2
Direct
0.0000 0.0000 0.0000
0.5000 0.5000 0.0000
0.5000 0.5000 0.5000
0.0000 0.5000 0.5000
0.5000 0.0000 0.5000
```

Values from the calculation:
Symmetry: P4/mmm, No. 123
Energy above the lowest structure with this stoichiometry: 0.000 kcal/mol of atoms
Formation energy from raw total energies: -1.06 eV per atom